Density functional theory data (PBE) for a geometry-optimized Hf2NpSn structure.

```
Hf2NpSn
1.0
-2.1430 1.1067 3.4431
-0.1406 -4.4190 1.3329
3.9702 0.5643 2.2897
Sn Np Hf
1 1 2
Direct
0.5000 0.0000 0.0000
0.5000 0.5000 0.5000
0.0000 0.5000 0.0000
0.0000 0.0000 0.5000
```

## Properties
space group = P4/mmm
energy of formation from the pure elements = -0.0226 eV/atom
polymorph energy (0 for the lowest one) = 0 meV/atom
DOS at the Fermi energy = 8.84 states/eV per cell

=====

Density functional theory data (PBE) for a geometry-optimized TaNiGePtAu structure.

```
TaNiGePtAu
1.0
-0.5262 4.0459 -0.7093
-2.3809 -0.0246 1.6262
3.8650 -0.1338 5.6568
Ge Ni Pt Au Ta
1 1 1 1 1
Direct
0.4344 0.5000 0.5445
0.1030 0.0000 0.7142
0.6878 0.5000 0.9087
0.8367 0.5000 0.3223
0.2532 0.0000 0.0974
```

## Properties
space group = Pm
energy of formation from the pure elements = -0.2131 eV/atom
polymorph energy (0 for the lowest one) = 19 meV/atom
DOS at the Fermi energy = 2.19 states/eV per cell

=====

Density functional theory data (PBE) for a geometry-optimized LiCo2Ir structure.

```
LiCo2Ir
1.0
8.6894 0.0085 0.0050
8.2935 2.5930 0.0050
8.2935 1.2704 2.2605
Co Li Ir
2 1 1
Direct
0.9948 0.9948 0.9948
0.2538 0.2538 0.2538
0.7489 0.7489 0.7489
0.5025 0.5025 0.5025
```

## Properties
space group = R3m
energy of formation from the pure elements = 0.0589 eV/atom
DOS at the Fermi energy = 4.07 states/eV per cell

=====

Density functional theory data (PBE) for a geometry-optimized AgHg2As structure.

```
AgHg2As
1.0
-7.9368 -5.7912 -0.4653
-5.6657 -7.9762 -1.0139
-6.4246 -7.1774 1.9893
Ag Hg As
1 2 1
Direct
0.2500 0.2500 0.2500
0.9976 0.9976 0.9976
0.5024 0.5024 0.5024
0.7500 0.7500 0.7500
```

## Properties
space group = R-3m
energy of formation from the pure elements = 0.2474 eV/atom
DOS at the Fermi energy = 1.96 states/eV per cell

=====

Density functional theory data (PBE) for a geometry-optimized TbAlGe structure.

```
TbAlGe
1.0
-0.7952 -3.7155 1.5065
3.2378 -0.3058 -4.5900
4.7337 0.3319 3.3171
Tb Al Ge
2 2 2
Direct
0.3104 0.6208 0.7500
0.6896 0.3792 0.2500
0.0000 0.0000 0.0000
0.0000 0.0000 0.5000
0.3942 0.7884 0.2500
0.6058 0.2116 0.7500
```

## Properties
space group = Cmcm
energy of formation from the pure elements = -0.6602 eV/atom
DOS at the Fermi energy = 1.76 states/eV per cell

=====

Number 1: DFT total energy -9.235 eV/atom. Number 2: DFT total energy -6.527 eV/atom. Number 3: DFT total energy -6.188 eV/atom. Number 4: DFT total energy -1.779 eV/atom. Number 5: DFT total energy -4.990 eV/atom.